No. 1
## Tm3GeP2Rh8 (GGA-PBE)

Data for Tm3GeP2Rh8 after structural relaxation.

Results
**Spin magnetization**: 0.00 μB per atom
**Theoretical density**: 10.413 g cm⁻³
**Calculated volume**: 234 Å³/cell
**Calculated total energy**: -98.1 eV/cell
**Energy of formation**: -744 meV per atom

a = 5.4018 Å, b = 5.4018 Å, c = 9.2422 Å
α = 90.00°, β = 90.00°, γ = 120.00°
Space group P-3m1 (No. 164)
Inequivalent atoms, fractional coordinates:
Tm  0.0000  0.0000  0.0000
Tm  0.3333  0.6667  0.5624
Ge  0.0000  0.0000  0.5000
P  0.3333  0.6667  0.0985
Rh  0.1649  0.3299  0.2779
Rh  0.3333  0.6667  0.8608

No. 2
## SmTc2B6 (GGA-PBE)

Data for SmTc2B6 after structural relaxation.

Results
**Spin magnetization**: 0.00 μB per atom
**Theoretical density**: 7.682 g cm⁻³
**Calculated volume**: 89 Å³/cell
**Calculated total energy**: -67.3 eV/cell
**Energy of formation**: -199 meV per atom

a = 5.3489 Å, b = 5.3489 Å, c = 3.5875 Å
α = 90.00°, β = 90.00°, γ = 120.00°
Space group P6/mmm (No. 191)
Inequivalent atoms, fractional coordinates:
Sm  0.0000  0.0000  0.0000
Tc  0.3333  0.6667  0.0000
B  0.0000  0.3428  0.5000

No. 3
## BiP2PdCl (GGA-PBE)

Data for BiP2PdCl after structural relaxation.

Results
**Spin magnetization**: 0.31 μB per atom
**Theoretical density**: 4.580 g cm⁻³
**Calculated volume**: 150 Å³/cell
**Calculated total energy**: -16.2 eV/cell
**ΔE_f (raw)**: 1115 meV/atom

a = 5.330 Å, b = 5.330 Å, c = 5.268 Å
α = 90.00°, β = 90.00°, γ = 90.00°
Space group P4/mmm (No. 123)
Inequivalent atoms, fractional coordinates:
Bi  0.000  0.000  0.000
P  0.000  0.500  0.000
Pd  0.500  0.500  0.500
Cl  0.000  0.000  0.500

No. 4
## Ho2ZrSc6 (GGA-PBE)

Data for Ho2ZrSc6 after structural relaxation.

Results
**Spin magnetization**: 0.24 μB per atom
**Theoretical density**: 4.923 g cm⁻³
**Calculated volume**: 233 Å³/cell
**Calculated total energy**: -55.1 eV/cell
**Energy of formation**: 69 meV per atom

a = 3.3386 Å, b = 3.3386 Å, c = 24.1413 Å
α = 90.00°, β = 90.00°, γ = 120.00°
Space group P-6m2 (No. 187)
Inequivalent atoms, fractional coordinates:
Ho  0.0000  0.0000  0.1745
Zr  0.6667  0.3333  0.5000
Sc  0.0000  0.0000  0.3960
Sc  0.6667  0.3333  0.0623
Sc  0.6667  0.3333  0.2886

No. 5
## Nd2BeBPt6 (GGA-PBE)

Data for Nd2BeBPt6 after structural relaxation.

Results
**Spin magnetization**: 0.00 μB per atom
**Theoretical density**: 14.382 g cm⁻³
**Calculated volume**: 341 Å³/cell
**Calculated total energy**: -130.4 eV/cell
**Energy of formation**: -901 meV per atom

a = 5.754 Å, b = 5.754 Å, c = 10.313 Å
α = 90.00°, β = 90.00°, γ = 90.00°
Space group I4mm (No. 107)
Inequivalent atoms, fractional coordinates:
Nd  0.000  0.500  0.000
Be  0.000  0.000  0.357
B  0.000  0.000  0.860
Pt  0.000  0.000  0.065
Pt  0.000  0.000  0.569
Pt  0.246  0.246  0.760

No. 6
## MnAlPd5 (GGA-PBE)

Data for MnAlPd5 after structural relaxation.

Results
**Spin magnetization**: 0.58 μB per atom
**Theoretical density**: 9.250 g cm⁻³
**Calculated volume**: 110 Å³/cell
**Calculated total energy**: -41.6 eV/cell
**Energy of formation**: -396 meV per atom

a = 4.006 Å, b = 4.006 Å, c = 6.867 Å
α = 90.00°, β = 90.00°, γ = 90.00°
Space group P4/mmm (No. 123)
Inequivalent atoms, fractional coordinates:
Mn  0.000  0.000  0.000
Al  0.500  0.500  0.500
Pd  0.000  0.500  0.281
Pd  0.500  0.500  0.000